PBE ReAgOs2, relaxed; symmetry = No. 119; distance to the lowest polymorph of the same formula = 1.698 eV/f.u.; size of the total moment = 0.0 μB/f.u.; E_form = 0.690 eV/atom; crystal system = tetragonal
1.0
-3.313 3.021 -1.941
-3.557 -2.408 -2.330
1.991 -0.407 4.444
Re Os Ag
1 2 1
Direct
0.500 0.500 0.000
0.000 0.000 0.000
0.250 0.750 0.500
0.750 0.250 0.500

---

PBE YTeO2, relaxed; symmetry = No. 122; size of the total moment = 0.0 μB/f.u.; crystal system = tetragonal
1.0
5.692 0.000 0.000
0.000 5.692 0.000
2.846 2.846 5.068
Y Te O
2 2 4
Direct
0.500 0.500 0.000
0.250 0.750 0.500
0.750 0.250 0.500
0.000 0.000 0.000
0.199 0.625 0.250
0.875 0.801 0.750
0.375 0.449 0.750
0.551 0.125 0.250

---

PBE CsKNaMo2, relaxed; symmetry = No. 123; size of the total moment = 6.3 μB/f.u.; E_form = 2.557 eV/atom; crystal system = tetragonal
1.0
5.005 0.000 0.000
0.000 6.165 0.000
0.000 0.000 5.005
Na Mo Cs K
1 2 1 1
Direct
0.000 0.500 0.000
0.000 0.000 0.500
0.500 0.000 0.000
0.500 0.500 0.500
0.000 0.000 0.000

---

PBE Ba2MgIn4Au3, relaxed; symmetry = No. 115; size of the total moment = 0.0 μB/f.u.; E_form = -0.491 eV/atom; crystal system = tetragonal
1.0
4.819 0.000 0.000
0.000 4.819 0.000
0.000 0.000 11.829
In Au Ba Mg
4 3 2 1
Direct
0.000 0.000 0.000
0.500 0.500 0.000
0.500 0.000 0.634
0.000 0.500 0.366
0.000 0.000 0.500
0.500 0.000 0.870
0.000 0.500 0.130
0.000 0.500 0.754
0.500 0.000 0.246
0.500 0.500 0.500

---

PBE CaPRuF, relaxed; symmetry = No. 129; size of the total moment = 0.0 μB/f.u.; crystal system = tetragonal
1.0
-0.271 -3.536 1.879
2.640 1.259 2.749
-6.032 2.846 4.488
Ca F P Ru
2 2 2 2
Direct
0.500 0.000 0.158
0.000 0.500 0.842
0.500 0.500 0.000
0.000 0.000 0.000
0.500 0.000 0.648
0.000 0.500 0.352
0.500 0.500 0.500
0.000 0.000 0.500

---

PBE Zr6CdCo, relaxed; symmetry = No. 166; size of the total moment = 0.0 μB/f.u.; E_form = 0.137 eV/atom; crystal system = trigonal
1.0
-2.005 -4.002 3.923
5.404 1.582 1.931
-3.432 4.808 0.710
Zr Cd Co
6 1 1
Direct
0.222 0.222 0.638
0.363 0.779 0.779
0.778 0.778 0.362
0.779 0.363 0.779
0.221 0.637 0.221
0.637 0.221 0.221
0.000 0.000 0.000
0.500 0.500 0.500

---

PBE YHfCdRh2, relaxed; symmetry = No. 123; size of the total moment = 0.0 μB/f.u.; E_form = 0.223 eV/atom; crystal system = tetragonal
1.0
4.768 0.000 0.000
0.000 5.359 0.000
0.000 0.000 4.768
Rh Hf Y Cd
2 1 1 1
Direct
0.500 0.000 0.000
0.000 0.000 0.500
0.000 0.000 0.000
0.500 0.500 0.500
0.000 0.500 0.000

---

PBE Li3IrCl, relaxed; symmetry = No. 221; distance to the lowest polymorph of the same formula = 1.022 eV/f.u.; size of the total moment = 1.0 μB/f.u.; crystal system = cubic
1.0
4.868 0.000 0.000
0.000 4.868 0.000
0.000 0.000 4.868
Li Ir Cl
3 1 1
Direct
0.000 0.000 0.500
0.000 0.500 0.000
0.500 0.000 0.000
0.000 0.000 0.000
0.500 0.500 0.500

---

PBE Er2CdOs, relaxed; symmetry = No. 225; size of the total moment = 0.0 μB/f.u.; E_form = -0.248 eV/atom; crystal system = cubic
1.0
-2.505 -4.194 -0.919
1.304 -2.885 -3.832
2.145 -4.408 0.824
Cd Er Os
1 2 1
Direct
0.250 0.250 0.250
0.500 0.500 0.500
0.000 0.000 0.000
0.750 0.750 0.750

---

PBE HgBiSbCl2, relaxed; symmetry = No. 123; size of the total moment = 0.0 μB/f.u.; crystal system = tetragonal
1.0
-4.592 2.313 0.578
-1.379 -1.217 -6.085
-2.103 -4.521 1.381
Hg Bi Cl Sb
1 1 2 1
Direct
0.500 0.500 0.500
0.000 0.500 0.000
0.000 0.000 0.500
0.500 0.000 0.000
0.000 0.000 0.000

---

PBE La2CeTmTe5, relaxed; symmetry = No. 123; size of the total moment = 2.6 μB/f.u.; crystal system = tetragonal
1.0
5.476 0.000 0.000
0.000 5.476 0.000
0.000 0.000 11.846
La Te Ce Tm
2 5 1 1
Direct
0.500 0.500 0.330
0.500 0.500 0.670
0.000 0.000 0.252
0.500 0.500 0.000
0.000 0.000 0.748
0.500 0.000 0.500
0.000 0.500 0.500
0.000 0.000 0.000
0.000 0.000 0.500

---

PBE Ce2GaH6Ru, relaxed; symmetry = No. 166; size of the total moment = 1.1 μB/f.u.; crystal system = trigonal
1.0
4.707 0.000 0.000
2.353 4.076 0.000
2.353 1.359 12.592
H Ru Ce Ga
12 2 4 2
Direct
0.345 0.345 0.427
0.800 0.800 0.077
0.655 0.655 0.573
0.800 0.323 0.077
0.882 0.345 0.427
0.677 0.200 0.923
0.655 0.118 0.573
0.200 0.677 0.923
0.200 0.200 0.923
0.118 0.655 0.573
0.345 0.882 0.427
0.323 0.800 0.077
0.000 0.000 0.000
0.500 0.500 0.500
0.707 0.707 0.879
0.874 0.874 0.379
0.126 0.126 0.621
0.293 0.293 0.121
0.419 0.419 0.742
0.581 0.581 0.258

---

PBE PmMgAlIn, relaxed; symmetry = No. 216; distance to the lowest polymorph of the same formula = 0.522 eV/f.u.; size of the total moment = 0.0 μB/f.u.; E_form = -0.229 eV/atom; crystal system = cubic
1.0
5.143 0.000 0.000
2.572 4.454 0.000
2.572 1.485 4.200
In Pm Mg Al
1 1 1 1
Direct
0.500 0.500 0.500
0.250 0.250 0.250
0.750 0.750 0.750
0.000 0.000 0.000

---

PBE LiCaY, relaxed; symmetry = No. 11; distance to the lowest polymorph of the same formula = 0.064 eV/f.u.; size of the total moment = 0.0 μB/f.u.; E_form = 0.058 eV/atom; crystal system = monoclinic
1.0
3.701 0.000 -0.259
0.000 5.679 0.000
-1.238 0.000 8.955
Li Ca Y
2 2 2
Direct
0.073 0.250 0.648
0.927 0.750 0.352
0.590 0.750 0.680
0.410 0.250 0.320
0.274 0.750 0.048
0.726 0.250 0.952

---

PBE LiIn12Pb3, relaxed; symmetry = No. 123; size of the total moment = 0.0 μB/f.u.; E_form = -0.010 eV/atom; crystal system = tetragonal
1.0
-2.716 -3.698 1.889
2.481 0.365 4.282
-11.927 11.777 5.905
In Pb Li
12 3 1
Direct
0.500 0.500 0.500
0.000 0.500 0.887
0.500 0.500 0.246
0.500 0.000 0.627
0.500 0.000 0.373
0.500 0.500 0.754
0.000 0.500 0.113
0.000 0.500 0.373
0.500 0.000 0.887
0.500 0.000 0.113
0.000 0.500 0.627
0.500 0.500 0.000
0.000 0.000 0.760
0.000 0.000 0.500
0.000 0.000 0.240
0.000 0.000 0.000

---

PBE NaHo2O4, relaxed; symmetry = No. 122; size of the total moment = 1.0 μB/f.u.; crystal system = tetragonal
1.0
-2.783 4.710 -2.618
-3.840 -4.651 0.635
2.004 1.855 5.416
O Ho Na
8 4 2
Direct
0.988 0.592 0.742
0.604 0.754 0.012
0.600 0.746 0.508
0.762 0.254 0.854
0.258 0.246 0.850
0.150 0.408 0.396
0.492 0.092 0.238
0.146 0.908 0.400
0.235 0.610 0.125
0.375 0.890 0.765
0.515 0.390 0.625
0.875 0.110 0.485
0.000 0.000 0.000
0.750 0.500 0.250

---

PBE Cs2HoU3O12, relaxed; symmetry = No. 166; size of the total moment = 0.0 μB/f.u.; crystal system = trigonal
1.0
-1.645 -7.227 2.646
5.982 -4.950 1.278
1.858 -1.754 7.443
O Cs U Ho
12 2 3 1
Direct
0.932 0.932 0.333
0.068 0.667 0.068
0.311 0.931 0.311
0.932 0.333 0.932
0.311 0.311 0.931
0.689 0.069 0.689
0.069 0.689 0.689
0.333 0.932 0.932
0.068 0.068 0.667
0.931 0.311 0.311
0.689 0.689 0.069
0.667 0.068 0.068
0.379 0.379 0.379
0.621 0.621 0.621
0.500 0.000 0.000
0.000 0.000 0.500
0.000 0.500 0.000
0.000 0.000 0.000

---

PBE TbEuInAg, relaxed; symmetry = No. 216; size of the total moment = 6.9 μB/f.u.; E_form = -0.353 eV/atom; crystal system = cubic
1.0
5.370 0.000 0.000
2.685 4.650 0.000
2.685 1.550 4.384
In Eu Ag Tb
1 1 1 1
Direct
0.750 0.750 0.750
0.500 0.500 0.500
0.250 0.250 0.250
0.000 0.000 0.000

---

PBE Ce3NdIr, relaxed; symmetry = No. 63; size of the total moment = 0.0 μB/f.u.; E_form = -0.247 eV/atom; crystal system = orthorhombic
1.0
5.897 0.000 0.000
0.000 7.346 0.000
0.000 -3.673 6.395
Ce Nd Ir
6 2 2
Direct
0.250 0.817 0.634
0.750 0.241 0.853
0.250 0.759 0.147
0.250 0.388 0.147
0.750 0.612 0.853
0.750 0.183 0.366
0.250 0.297 0.594
0.750 0.703 0.406
0.000 0.000 0.000
0.500 0.000 0.000

---

PBE CaTb3Ag4, relaxed; symmetry = No. 123; size of the total moment = 0.0 μB/f.u.; E_form = -0.313 eV/atom; crystal system = tetragonal
1.0
5.180 0.000 0.000
0.000 7.302 0.000
0.000 0.000 10.359
Tb Ca Ag
6 2 8
Direct
0.000 0.000 0.000
0.500 0.000 0.750
0.000 0.000 0.500
0.500 0.000 0.250
0.500 0.500 0.250
0.500 0.500 0.750
0.000 0.500 0.500
0.000 0.500 0.000
0.500 0.243 0.000
0.000 0.757 0.750
0.500 0.757 0.000
0.000 0.243 0.250
0.500 0.243 0.500
0.000 0.757 0.250
0.500 0.757 0.500
0.000 0.243 0.750

---

Number 1: V 15.05 Å³/atom, VASP energy -8.75 eV per atom, ρ 18.6 g/cm3. Number 2: V 20.53 Å³/atom, VASP energy -6.52 eV per atom, ρ 5.0 g/cm3. Number 3: V 30.89 Å³/atom, VASP energy -2.43 eV per atom, ρ 4.2 g/cm3. Number 4: V 27.47 Å³/atom, VASP energy -3.11 eV per atom, ρ 8.2 g/cm3. Number 5: V 16.19 Å³/atom, VASP energy -6.69 eV per atom, ρ 4.9 g/cm3. Number 6: V 22.69 Å³/atom, VASP energy -7.28 eV per atom, ρ 6.6 g/cm3. Number 7: V 24.36 Å³/atom, VASP energy -6.18 eV per atom, ρ 8.0 g/cm3. Number 8: V 23.08 Å³/atom, VASP energy -3.20 eV per atom, ρ 3.6 g/cm3. Number 9: V 21.71 Å³/atom, VASP energy -5.57 eV per atom, ρ 12.2 g/cm3. Number 10: V 34.04 Å³/atom, VASP energy -2.56 eV per atom, ρ 5.9 g/cm3. Number 11: V 39.46 Å³/atom, VASP energy -4.99 eV per atom, ρ 5.7 g/cm3. Number 12: V 12.08 Å³/atom, VASP energy -4.81 eV per atom, ρ 6.3 g/cm3. Number 13: V 24.05 Å³/atom, VASP energy -3.44 eV per atom, ρ 5.4 g/cm3. Number 14: V 31.06 Å³/atom, VASP energy -3.40 eV per atom, ρ 2.4 g/cm3. Number 15: V 27.35 Å³/atom, VASP energy -2.88 eV per atom, ρ 7.6 g/cm3. Number 16: V 12.26 Å³/atom, VASP energy -7.06 eV per atom, ρ 8.1 g/cm3. Number 17: V 19.90 Å³/atom, VASP energy -8.46 eV per atom, ρ 6.2 g/cm3. Number 18: V 27.37 Å³/atom, VASP energy -5.48 eV per atom, ρ 8.1 g/cm3. Number 19: V 27.70 Å³/atom, VASP energy -6.53 eV per atom, ρ 9.1 g/cm3. Number 20: V 24.49 Å³/atom, VASP energy -3.73 eV per atom, ρ 8.0 g/cm3.